Entry 1:
The following is a PBE calculation of a relaxed structure of Ag2HPt2, from Alexandria.

POSCAR file:
```
Ag2HPt2
1.0
2.798 0.000 0.000
-1.399 2.138 1.129
0.000 3.578 14.029
Ag H Pt
2 1 2
direct
0.895 0.790 0.386
0.105 0.210 0.614
0.000 0.000 0.000
0.682 0.364 0.159
0.318 0.636 0.841
```

Results
The symmetry is No. 12. As for the crystal system: monoclinic. The offset from the most stable computed form comes out at 0.000 eV/atom. The value obtained for the total energy is -21.01 eV per formula unit. As for the density of states at the Fermi level: 0.353 states/eV/atom.

Entry 2:
The following is a PBE calculation of a relaxed structure of Ag2H2Pt, from Alexandria.

POSCAR file:
```
Ag2H2Pt
1.0
-2.649 -3.815 2.816
-2.383 -1.718 -4.569
3.170 -2.678 -0.646
H Ag Pt
4 4 2
direct
0.237 0.737 0.000
0.737 0.763 0.000
0.763 0.263 0.000
0.263 0.237 0.000
0.200 0.700 0.500
0.700 0.800 0.500
0.800 0.300 0.500
0.300 0.200 0.500
0.000 0.000 0.000
0.500 0.500 0.000
```

Results
The symmetry is No. 127. As for the crystal system: tetragonal. The offset from the most stable computed form comes out at 0.000 eV/atom. The value obtained for the total energy is -18.02 eV per formula unit. As for the density of states at the Fermi level: 0.221 states/eV/atom.

Entry 3:
The following is a PBE calculation of a relaxed structure of AgH6Pt3, from Alexandria.

POSCAR file:
```
AgH6Pt3
1.0
1.439 5.732 -1.695
-4.604 0.430 4.051
3.507 0.289 3.955
Ag H Pt
2 12 6
direct
0.854 0.146 0.976
0.146 0.854 0.476
0.751 0.762 0.728
0.762 0.751 0.228
0.011 0.520 0.706
0.520 0.011 0.206
0.197 0.803 0.024
0.611 0.389 0.484
0.389 0.611 0.984
0.803 0.197 0.524
0.480 0.989 0.706
0.989 0.480 0.206
0.238 0.249 0.728
0.249 0.238 0.228
0.653 0.916 0.466
0.916 0.653 0.966
0.494 0.506 0.729
0.506 0.494 0.229
0.347 0.084 0.966
0.084 0.347 0.466
```

Results
The symmetry is No. 36. As for the crystal system: orthorhombic. The value obtained for the total energy is -40.40 eV per formula unit. As for the density of states at the Fermi level: 0.152 states/eV/atom.

Entry 4:
The following is a PBE calculation of a relaxed structure of Ag2H4Pt3, from Alexandria.

POSCAR file:
```
Ag2H4Pt3
1.0
-3.105 4.605 1.011
-2.144 -4.683 -2.311
1.907 -2.866 3.718
Ag H Pt
2 4 3
direct
0.714 0.653 0.367
0.286 0.347 0.633
0.303 0.919 0.221
0.697 0.081 0.779
0.182 0.604 0.785
0.818 0.396 0.215
0.500 0.000 0.000
0.000 0.500 0.000
0.000 0.000 0.000
```

Results
The symmetry is No. 12. As for the crystal system: monoclinic. The value obtained for the total energy is -36.89 eV per formula unit. As for the density of states at the Fermi level: 0.266 states/eV/atom.

Entry 5:
The following is a PBE calculation of a relaxed structure of Ag3H12Pt5, from Alexandria.

POSCAR file:
```
Ag3H12Pt5
1.0
9.994 0.000 0.000
-3.331 9.422 0.000
-3.331 -4.711 8.160
Ag Pt H
12 20 48
direct
0.750 0.375 0.125
0.875 0.750 0.125
0.375 0.750 0.625
0.250 0.125 0.375
0.875 0.125 0.250
0.375 0.625 0.250
0.625 0.375 0.750
0.125 0.875 0.750
0.750 0.875 0.625
0.625 0.250 0.375
0.125 0.250 0.875
0.250 0.625 0.875
0.125 0.375 0.250
0.000 0.500 0.000
0.000 0.000 0.000
0.375 0.250 0.125
0.500 0.000 0.500
0.500 0.500 0.000
0.125 0.750 0.375
0.750 0.125 0.875
0.750 0.625 0.375
0.375 0.125 0.750
0.625 0.875 0.250
0.500 0.500 0.500
0.500 0.000 0.000
0.000 0.000 0.500
0.250 0.375 0.625
0.250 0.875 0.125
0.000 0.500 0.500
0.875 0.250 0.625
0.625 0.750 0.875
0.875 0.625 0.750
0.691 0.120 0.018
0.327 0.518 0.398
0.982 0.380 0.309
0.518 0.191 0.120
0.571 0.691 0.673
0.982 0.602 0.173
0.327 0.809 0.429
0.102 0.929 0.120
0.602 0.982 0.673
0.691 0.571 0.173
0.809 0.482 0.380
0.827 0.898 0.018
0.120 0.691 0.518
0.380 0.398 0.071
0.071 0.898 0.380
0.429 0.120 0.602
0.071 0.173 0.191
0.482 0.673 0.102
0.827 0.929 0.309
0.120 0.429 0.102
0.380 0.982 0.809
0.602 0.620 0.429
0.898 0.827 0.518
0.809 0.327 0.929
0.398 0.380 0.571
0.102 0.173 0.482
0.191 0.673 0.071
0.173 0.071 0.691
0.620 0.018 0.191
0.880 0.571 0.898
0.518 0.327 0.898
0.571 0.880 0.398
0.929 0.827 0.809
0.929 0.102 0.620
0.880 0.309 0.482
0.173 0.102 0.982
0.620 0.602 0.929
0.398 0.018 0.327
0.309 0.429 0.827
0.191 0.518 0.620
0.898 0.071 0.880
0.673 0.191 0.571
0.482 0.809 0.880
0.018 0.398 0.827
0.429 0.309 0.327
0.018 0.620 0.691
0.673 0.482 0.602
0.309 0.880 0.982
```

Results
The symmetry is No. 230. As for the crystal system: cubic. The value obtained for the total energy is -76.27 eV per formula unit. As for the density of states at the Fermi level: 0.233 states/eV/atom.

Entry 6:
The following is a PBE calculation of a relaxed structure of AgH3Pt, from Alexandria.

POSCAR file:
```
AgH3Pt
1.0
-1.509 1.863 -2.669
0.195 -2.885 -2.124
-3.249 -1.039 1.112
H Ag Pt
3 1 1
direct
0.000 0.500 0.000
0.000 0.000 0.500
0.500 0.000 0.000
0.000 0.000 0.000
0.500 0.500 0.500
```

Results
The symmetry is No. 221. As for the crystal system: cubic. The offset from the most stable computed form comes out at 0.667 eV/atom. The value obtained for the total energy is -15.15 eV per formula unit. As for the density of states at the Fermi level: 0.209 states/eV/atom.

Entry 7:
The following is a PBE calculation of a relaxed structure of Ag3H4Pt2, from Alexandria.

POSCAR file:
```
Ag3H4Pt2
1.0
2.819 0.000 0.000
-1.409 4.912 -0.131
0.000 -2.314 7.404
Ag H Pt
3 4 2
direct
0.381 0.763 0.609
0.000 0.000 0.000
0.619 0.237 0.391
0.693 0.386 0.122
0.076 0.151 0.696
0.924 0.849 0.304
0.307 0.614 0.878
0.309 0.619 0.213
0.691 0.381 0.787
```

Results
The symmetry is No. 12. As for the crystal system: monoclinic. The offset from the most stable computed form comes out at 0.000 eV/atom. The value obtained for the total energy is -33.43 eV per formula unit. As for the density of states at the Fermi level: 0.091 states/eV/atom.

Entry 8:
The following is a PBE calculation of a relaxed structure of AgH2Pt4, from Alexandria.

POSCAR file:
```
AgH2Pt4
1.0
-1.310 -0.903 -2.305
1.356 -1.623 -1.837
-3.964 -11.409 5.018
Ag H Pt
1 2 4
direct
0.000 0.000 0.000
0.774 0.774 0.677
0.226 0.226 0.323
0.272 0.272 0.185
0.728 0.728 0.815
0.865 0.865 0.406
0.135 0.135 0.594
```

Results
The symmetry is No. 166. As for the crystal system: trigonal. The value obtained for the total energy is -33.33 eV per formula unit. As for the density of states at the Fermi level: 0.329 states/eV/atom.

Entry 9:
The following is a PBE calculation of a relaxed structure of AgH7Pt4, from Alexandria.

POSCAR file:
```
AgH7Pt4
1.0
4.911 0.000 0.000
0.000 5.023 0.000
0.000 0.000 10.348
Ag H Pt
2 14 8
direct
0.279 0.857 0.500
0.779 0.143 0.000
0.992 0.654 0.106
0.492 0.346 0.394
0.472 0.359 0.828
0.972 0.641 0.672
0.972 0.641 0.328
0.472 0.359 0.172
0.482 0.813 0.717
0.982 0.187 0.783
0.982 0.187 0.217
0.482 0.813 0.283
0.430 0.624 0.000
0.930 0.376 0.500
0.992 0.654 0.894
0.492 0.346 0.606
0.637 0.648 0.864
0.139 0.864 0.218
0.639 0.136 0.282
0.137 0.352 0.636
0.137 0.352 0.364
0.637 0.648 0.136
0.139 0.864 0.782
0.639 0.136 0.718
```

Results
The symmetry is No. 31. As for the crystal system: orthorhombic. The value obtained for the total energy is -49.08 eV per formula unit. As for the density of states at the Fermi level: 0.101 states/eV/atom.

Entry 10:
The following is a PBE calculation of a relaxed structure of Ag2HPt2, from Alexandria.

POSCAR file:
```
Ag2HPt2
1.0
-2.717 -4.532 1.056
4.638 -2.537 1.042
-0.354 1.339 4.836
H Ag Pt
2 4 4
direct
0.000 0.000 0.000
0.500 0.500 0.000
0.176 0.676 0.500
0.676 0.824 0.500
0.824 0.324 0.500
0.324 0.176 0.500
0.322 0.822 0.000
0.822 0.678 0.000
0.678 0.178 0.000
0.178 0.322 0.000
```

Results
The symmetry is No. 127. As for the crystal system: tetragonal. The offset from the most stable computed form comes out at 0.046 eV/atom. The value obtained for the total energy is -20.78 eV per formula unit. As for the density of states at the Fermi level: 0.416 states/eV/atom.

Entry 11:
The following is a PBE calculation of a relaxed structure of AgHPt2, from Alexandria.

POSCAR file:
```
AgHPt2
1.0
-2.844 -1.921 -5.091
0.620 -5.822 1.851
-3.664 -3.710 -0.256
H Ag Pt
2 2 4
direct
0.500 0.500 0.000
0.250 0.750 0.500
0.000 0.000 0.000
0.750 0.250 0.500
0.505 0.125 0.250
0.245 0.625 0.250
0.375 0.495 0.750
0.875 0.755 0.750
```

Results
The symmetry is No. 122. As for the crystal system: tetragonal. The offset from the most stable computed form comes out at 0.106 eV/atom. The value obtained for the total energy is -17.63 eV per formula unit. As for the density of states at the Fermi level: 0.408 states/eV/atom.

Entry 12:
The following is a PBE calculation of a relaxed structure of AgHPt2, from Alexandria.

POSCAR file:
```
AgHPt2
1.0
2.830 0.000 0.000
1.415 2.451 0.000
1.415 0.817 7.533
Ag H Pt
1 1 2
direct
0.496 0.496 0.512
0.681 0.681 0.956
0.054 0.054 0.837
0.268 0.268 0.196
```

Results
The symmetry is No. 160. As for the crystal system: trigonal. The offset from the most stable computed form comes out at 0.000 eV/atom. The value obtained for the total energy is -18.06 eV per formula unit. As for the density of states at the Fermi level: 0.202 states/eV/atom.